(1)
The following is a meta-GGA SCAN calculation of InHgAu at its PBEsol-relaxed geometry, from the Alexandria database.

Unit cell a=3.3348 b=3.3348 c=11.4247 alpha=90.00 beta=90.00 gamma=90.00
Closest atoms and distances in Å follow each position.
Space group I4mm (No. 107)
Asymmetric unit:
In 0.0000 0.0000 0.0000 [2 per cell]  4 Au 2.91, 4 Hg 3.21
Hg 0.0000 0.0000 0.3088 [2 per cell]  4 Au 2.98, 4 In 3.21, 4 Hg 3.33
Au 0.0000 0.0000 0.6487 [2 per cell]  4 In 2.91, 4 Hg 2.98

Properties
E_form: -0.01 eV/f.u.

---

(2)
The following is a meta-GGA SCAN calculation of In2HgAu at its PBEsol-relaxed geometry, from the Alexandria database.

Unit cell a=3.5976 b=3.5976 c=24.5184 alpha=90.00 beta=90.00 gamma=120.00
Closest atoms and distances in Å follow each position.
Space group R-3m (No. 166, hexagonal axes)
Asymmetric unit:
In 0.0000 0.0000 0.2432 [6 per cell]  3 Au 2.80, 3 Hg 3.03
Hg 0.0000 0.0000 0.0000 [3 per cell]  6 In 3.03
Au 0.0000 0.0000 0.5000 [3 per cell]  6 In 2.80

Properties
E_form: -0.57 eV/f.u.

---

(3)
The following is a meta-GGA SCAN calculation of InHgAu2 at its PBEsol-relaxed geometry, from the Alexandria database.

Unit cell a=3.5646 b=3.5646 c=22.9679 alpha=90.00 beta=90.00 gamma=120.00
Closest atoms and distances in Å follow each position.
Space group R-3m (No. 166, hexagonal axes)
Asymmetric unit:
In 0.0000 0.0000 0.0000 [3 per cell]  6 Au 2.78
Hg 0.0000 0.0000 0.5000 [3 per cell]  6 Au 2.84
Au 0.0000 0.0000 0.2519 [6 per cell]  3 In 2.78, 3 Hg 2.84

Properties
E_form: -0.38 eV/f.u.

---

(4)
The following is a meta-GGA SCAN calculation of In2HgAu at its PBEsol-relaxed geometry, from the Alexandria database.

Unit cell a=3.3607 b=4.4804 c=12.2113 alpha=90.00 beta=90.00 gamma=90.00
Closest atoms and distances in Å follow each position.
Space group Imm2 (No. 44)
Asymmetric unit:
In 0.0000 0.0000 0.0000 [2 per cell]  2 Au 2.87, 4 Hg 3.01
In 0.0000 0.5000 0.2259 [2 per cell]  4 Au 2.83, 2 Hg 3.16
Hg 0.0000 0.0000 0.4086 [2 per cell]  6 In 3.01-3.16, 2 Au 3.15, 2 Hg 3.36
Au 0.0000 0.5000 0.6901 [2 per cell]  6 In 2.83-2.87, 2 Hg 3.15

Properties
E_form: -0.30 eV/f.u.

---

(5)
The following is a meta-GGA SCAN calculation of InHg2Au at its PBEsol-relaxed geometry, from the Alexandria database.

Unit cell a=3.7838 b=4.1889 c=5.8618 alpha=90.00 beta=108.21 gamma=90.00
Closest atoms and distances in Å follow each position.
Space group Pm (No. 6)
Asymmetric unit:
In 0.0000 0.0000 0.0000 [1 per cell]  4 Au 2.88-2.91, 2 Hg 2.94-3.18
Hg 0.3217 0.5000 0.6100 [1 per cell]  1 Au 2.82, 4 Hg 2.92-2.93
Hg 0.7553 0.0000 0.4719 [1 per cell]  2 Au 2.88, 4 Hg 2.92-2.93, 2 In 2.94-3.18
Au 0.5503 0.5000 0.1165 [1 per cell]  3 Hg 2.82-2.88, 4 In 2.88-2.91

Properties
E_form: -0.16 eV/f.u.

---

(6)
The following is a meta-GGA SCAN calculation of Hg2IrAu at its PBEsol-relaxed geometry, from the Alexandria database.

Unit cell a=6.5584 b=6.5584 c=6.5584 alpha=90.00 beta=90.00 gamma=90.00
Closest atoms and distances in Å follow each position.
Space group Fm-3m (No. 225)
Asymmetric unit:
Hg 0.2500 0.2500 0.2500 [8 per cell]  4 Ir 2.84, 4 Au 2.84
Ir 0.0000 0.0000 0.0000 [4 per cell]  8 Hg 2.84
Au 0.0000 0.0000 0.5000 [4 per cell]  8 Hg 2.84

Properties
E_form: 2.06 eV/f.u.

---

no.,E_tot (eV/atom),D(E_F) (states/eV/f.u.)
1,-56.90,1.024
2,-51.17,1.301
3,-60.06,1.217
4,-51.10,1.505
5,-59.76,1.123
6,-68.63,1.592